4
Lattice="0.000 3.372 3.372 3.372 0.000 3.372 3.372 3.372 0.000" Properties=species:S:1:pos:R:3 comment="ErScCoAu, relaxed, DFT GGA-PBE" dft_energy_ev_per_atom=-5.797 sg=F-43m magmom_total_mub_per_fu=0.44 dos_at_fermi_per_ev_cell=3.0 e_form_kj_per_mol_atoms=-46 pbc="T T T"
Er 0.000 0.000 0.000
Sc 3.372 3.372 3.372
Co 5.058 5.058 5.058
Au 1.686 1.686 1.686

=====

4
Lattice="0.000 3.546 3.546 3.546 0.000 3.546 3.546 3.546 0.000" Properties=species:S:1:pos:R:3 comment="ErThCoAu, relaxed, DFT GGA-PBE" dft_energy_ev_per_atom=-5.958 sg=F-43m magmom_total_mub_per_fu=0.00 dos_at_fermi_per_ev_cell=3.2 e_form_kj_per_mol_atoms=-35 pbc="T T T"
Er 0.000 0.000 0.000
Th 3.546 3.546 3.546
Co 1.773 1.773 1.773
Au 5.319 5.319 5.319

=====

4
Lattice="0.000 3.477 3.477 3.477 0.000 3.477 3.477 3.477 0.000" Properties=species:S:1:pos:R:3 comment="YErCoAu, relaxed, DFT GGA-PBE" dft_energy_ev_per_atom=-5.806 sg=F-43m magmom_total_mub_per_fu=0.50 dos_at_fermi_per_ev_cell=3.0 e_form_kj_per_mol_atoms=-44 pbc="T T T"
Y 0.000 0.000 0.000
Er 3.477 3.477 3.477
Co 5.215 5.215 5.215
Au 1.738 1.738 1.738